Entry 1:
{
  "formula": "Tb3Cd4Pd4",
  "functional": "PBE",
  "state": "optimized geometry",
  "vol_a3_per_cell": 242,
  "ef_ev_per_atom": -0.589,
  "cell": [[-1.7063, -1.4964, -3.2356], [6.8444, -3.6978, -1.8993], [-4.7752, -3.5426, 6.5705]],
  "species": ["Pd", "Tb", "Tb", "Cd", "Pd", "Cd", "Pd", "Cd", "Tb", "Pd", "Cd"],
  "frac_coords": [[0.7570, 0.2570, 0.5139], [0.8843, 0.8843, 0.7687], [0.0000, 0.5000, 0.0000], [0.3324, 0.1423, 0.6648], [0.5000, 0.8118, 0.0000], [0.6676, 0.4775, 0.3352], [0.2430, 0.7430, 0.4861], [0.3324, 0.5225, 0.6648], [0.1157, 0.1157, 0.2313], [0.5000, 0.1882, 0.0000], [0.6676, 0.8577, 0.3352]]
}

=====

Entry 2:
{
  "formula": "RbSmMgCl6",
  "functional": "PBE",
  "state": "optimized geometry",
  "vol_a3_per_cell": 598,
  "dft_energy_ev_per_fu": -37.21,
  "cell": [[6.8924, 0.0000, 0.0000], [-3.4462, 5.9690, 0.0000], [0.0000, 0.0000, 14.5380]],
  "species": ["Rb", "Cl", "Cl", "Rb", "Cl", "Sm", "Cl", "Cl", "Sm", "Cl", "Cl", "Mg", "Mg", "Cl", "Cl", "Cl", "Cl", "Cl"],
  "frac_coords": [[0.0000, 0.0000, 0.5000], [0.6154, 0.9805, 0.3523], [0.6350, 0.6154, 0.6477], [0.0000, 0.0000, 0.0000], [0.9805, 0.3650, 0.6477], [0.3333, 0.6667, 0.7500], [0.6154, 0.6350, 0.1477], [0.3846, 0.3650, 0.8523], [0.6667, 0.3333, 0.2500], [0.6350, 0.0195, 0.8523], [0.0195, 0.3846, 0.1477], [0.3333, 0.6667, 0.2500], [0.6667, 0.3333, 0.7500], [0.9805, 0.6154, 0.8523], [0.3650, 0.3846, 0.3523], [0.0195, 0.6350, 0.3523], [0.3846, 0.0195, 0.6477], [0.3650, 0.9805, 0.1477]]
}

=====

Entry 3:
{
  "formula": "MgTcRu2",
  "functional": "PBE",
  "state": "optimized geometry",
  "vol_a3_per_cell": 59,
  "ef_ev_per_atom": 0.314,
  "cell": [[-1.9856, -0.0762, 3.8831], [1.2356, -2.8895, 3.0251], [2.1253, 1.3468, 3.5632]],
  "species": ["Ru", "Tc", "Ru", "Mg"],
  "frac_coords": [[0.0000, 0.0000, 0.0000], [0.7500, 0.7500, 0.7500], [0.2500, 0.2500, 0.2500], [0.5000, 0.5000, 0.5000]]
}

=====

Entry 4:
{
  "formula": "CaNd3Sm12",
  "functional": "PBE",
  "state": "optimized geometry",
  "vol_a3_per_cell": 551,
  "ef_ev_per_atom": 0.033,
  "cell": [[-0.6714, 5.1166, -0.2603], [-1.4246, 0.0657, 4.9663], [19.6426, 2.8622, 5.5965]],
  "species": ["Sm", "Sm", "Sm", "Sm", "Nd", "Nd", "Sm", "Sm", "Sm", "Sm", "Sm", "Sm", "Nd", "Sm", "Sm", "Ca"],
  "frac_coords": [[0.0000, 0.5000, 0.8715], [0.0000, 0.5000, 0.3758], [0.5000, 0.0000, 0.8715], [0.5000, 0.0000, 0.6242], [0.0000, 0.0000, 0.2504], [0.0000, 0.0000, 0.5000], [0.5000, 0.5000, 0.7503], [0.5000, 0.0000, 0.3758], [0.0000, 0.5000, 0.6242], [0.5000, 0.5000, 0.2497], [0.0000, 0.5000, 0.1285], [0.5000, 0.5000, 0.5000], [0.0000, 0.0000, 0.7496], [0.5000, 0.5000, 0.0000], [0.5000, 0.0000, 0.1285], [0.0000, 0.0000, 0.0000]]
}

=====

Entry 5:
{
  "formula": "La5Pr12Tl2",
  "functional": "PBE",
  "state": "optimized geometry",
  "vol_a3_per_cell": 674,
  "ef_ev_per_atom": -0.014,
  "cell": [[-7.4745, -0.4924, -5.9071], [6.9894, -6.0923, -0.6332], [-4.3942, -4.8919, 5.9680]],
  "species": ["Tl", "Pr", "La", "La", "Pr", "La", "Tl", "Pr", "Pr", "Pr", "Pr", "Pr", "Pr", "Pr", "La", "Pr", "Pr", "Pr", "La"],
  "frac_coords": [[0.3183, 0.0000, 0.0000], [0.4445, 0.8891, 0.6804], [0.2327, 0.4654, 0.5826], [0.0000, 0.0000, 0.5000], [0.9614, 0.2901, 0.2387], [0.6899, 0.3797, 0.0091], [0.6817, 0.0000, 0.0000], [0.4317, 0.2490, 0.6653], [0.8174, 0.2490, 0.6653], [0.0386, 0.7099, 0.7613], [0.3287, 0.2901, 0.2387], [0.5683, 0.7510, 0.3347], [0.1826, 0.7510, 0.3347], [0.9223, 0.8445, 0.1135], [0.3101, 0.6203, 0.9909], [0.0777, 0.1555, 0.8865], [0.6713, 0.7099, 0.7613], [0.5555, 0.1109, 0.3196], [0.7673, 0.5346, 0.4174]]
}

=====

Entry 6:
{
  "formula": "Er5ScTlIn2",
  "functional": "PBE",
  "state": "optimized geometry",
  "vol_a3_per_cell": 503,
  "ef_ev_per_atom": -0.033,
  "cell": [[8.0786, 0.0000, 0.0000], [0.0000, 8.0786, 0.0000], [-4.0393, -4.0393, 7.7138]],
  "species": ["Tl", "Er", "In", "Sc", "Er", "Er", "In", "In", "Tl", "Er", "Er", "Er", "Er", "In", "Er", "Er", "Er", "Sc"],
  "frac_coords": [[0.7500, 0.7500, 0.5000], [0.3467, 0.8467, 0.2755], [0.1169, 0.3831, 0.0000], [0.7500, 0.2500, 0.5000], [0.1533, 0.0712, 0.7245], [0.9288, 0.4288, 0.2755], [0.6169, 0.1169, 0.0000], [0.3831, 0.8831, 0.0000], [0.2500, 0.2500, 0.5000], [0.0712, 0.5712, 0.7245], [0.6533, 0.1533, 0.7245], [0.5000, 0.5000, 0.0000], [0.8467, 0.9288, 0.2755], [0.8831, 0.6169, 0.0000], [0.4288, 0.3467, 0.2755], [0.0000, 0.0000, 0.0000], [0.5712, 0.6533, 0.7245], [0.2500, 0.7500, 0.5000]]
}

=====

Entry 7:
{
  "formula": "Ca6Hg2Au",
  "functional": "PBE",
  "state": "optimized geometry",
  "vol_a3_per_cell": 571,
  "ef_ev_per_atom": -0.395,
  "e_above_lowest_polymorph_mev_per_atom": 37.7,
  "cell": [[-1.4991, 4.4594, 7.7377], [-7.9191, -3.6251, -2.4804], [-3.1873, -5.6508, 6.3178]],
  "species": ["Ca", "Ca", "Au", "Au", "Ca", "Hg", "Ca", "Ca", "Ca", "Ca", "Ca", "Hg", "Ca", "Ca", "Hg", "Ca", "Ca", "Hg"],
  "frac_coords": [[0.0627, 0.2521, 0.1894], [0.9373, 0.7479, 0.8106], [0.5000, 0.5000, 0.0000], [0.0000, 0.0000, 0.0000], [0.8286, 0.7360, 0.4354], [0.1380, 0.6380, 0.5000], [0.3370, 0.0497, 0.2873], [0.5586, 0.7479, 0.1894], [0.1714, 0.7360, 0.0926], [0.3370, 0.6243, 0.7127], [0.4414, 0.2521, 0.8106], [0.6579, 0.0000, 0.3421], [0.6630, 0.3757, 0.2873], [0.8286, 0.2640, 0.9074], [0.8620, 0.3620, 0.5000], [0.6630, 0.9503, 0.7127], [0.1714, 0.2640, 0.5646], [0.3421, 0.0000, 0.6579]]
}

=====

Entry 8:
{
  "formula": "ScTlZn2",
  "functional": "PBE",
  "state": "optimized geometry",
  "vol_a3_per_cell": 78,
  "ef_ev_per_atom": -0.036,
  "e_above_lowest_polymorph_mev_per_atom": 133.1,
  "cell": [[0.0000, 3.3941, 3.3941], [3.3941, 0.0000, 3.3941], [3.3941, 3.3941, 0.0000]],
  "species": ["Zn", "Sc", "Tl", "Zn"],
  "frac_coords": [[0.7500, 0.7500, 0.7500], [0.0000, 0.0000, 0.0000], [0.5000, 0.5000, 0.5000], [0.2500, 0.2500, 0.2500]]
}

=====

Entry 9:
{
  "formula": "K3Nd2PuO6",
  "functional": "PBE",
  "state": "optimized geometry",
  "vol_a3_per_cell": 215,
  "dft_energy_ev_per_fu": -87.09,
  "cell": [[6.2792, -0.0009, -0.0001], [-3.1388, 5.4384, -0.0001], [-1.0476, -1.8139, 6.2997]],
  "species": ["Nd", "O", "K", "O", "Pu", "O", "O", "Nd", "O", "K", "K", "O"],
  "frac_coords": [[0.6667, 0.3333, 0.0000], [0.7358, 0.7358, 0.1902], [0.5000, 0.5000, 0.5000], [0.0636, 0.3914, 0.1906], [0.0000, 0.0000, 0.0000], [0.9364, 0.6086, 0.8094], [0.2642, 0.2642, 0.8098], [0.3333, 0.6667, 0.0000], [0.3914, 0.0636, 0.1906], [0.8340, 0.1660, 0.5000], [0.1660, 0.8340, 0.5000], [0.6086, 0.9364, 0.8094]]
}

=====

Entry 10:
{
  "formula": "TlV2Os4",
  "functional": "PBE",
  "state": "optimized geometry",
  "vol_a3_per_cell": 148,
  "ef_ev_per_atom": 2.204,
  "cell": [[-3.9070, 1.3452, -2.5098], [-0.9101, -4.6275, -1.0635], [-5.9365, -2.1472, 3.4340]],
  "species": ["Os", "Tl", "Os", "V", "Os", "Os", "V"],
  "frac_coords": [[0.5000, 0.0000, 0.0000], [0.0000, 0.0000, 0.0000], [0.2275, 0.2275, 0.5449], [0.3946, 0.3946, 0.2108], [0.0000, 0.5000, 0.0000], [0.7725, 0.7725, 0.4551], [0.6054, 0.6054, 0.7892]]
}

=====

Entry 11:
{
  "formula": "CaZrP4",
  "functional": "PBE",
  "state": "optimized geometry",
  "vol_a3_per_cell": 104,
  "ef_ev_per_atom": -0.020,
  "cell": [[0.0000, 3.7369, 3.7369], [3.7369, 0.0000, 3.7369], [3.7369, 3.7369, 0.0000]],
  "species": ["Zr", "P", "P", "P", "P", "Ca"],
  "frac_coords": [[0.7500, 0.7500, 0.7500], [0.3778, 0.3778, 0.8665], [0.3778, 0.3778, 0.3778], [0.3778, 0.8665, 0.3778], [0.8665, 0.3778, 0.3778], [0.0000, 0.0000, 0.0000]]
}

=====

Entry 12:
{
  "formula": "KBaNaAu",
  "functional": "PBE",
  "state": "optimized geometry",
  "vol_a3_per_cell": 150,
  "ef_ev_per_atom": -0.171,
  "cell": [[-0.7890, -4.4488, 3.8979], [4.3493, -3.9853, 0.8994], [3.0089, -0.0207, 5.1530]],
  "species": ["K", "Au", "Na", "Ba"],
  "frac_coords": [[0.0000, 0.0000, 0.0000], [0.7500, 0.7500, 0.7500], [0.2500, 0.2500, 0.2500], [0.5000, 0.5000, 0.5000]]
}